VASP calculation (GGA+U) on a relaxed CrCd2AgF8 crystal.

```
CrCd2AgF8
1.0
5.018 -0.019 -0.003
0.015 5.070 -0.006
0.005 0.009 7.187
Cr Cd Ag F
1 2 1 8
direct
0.000 0.000 0.000
0.500 0.500 0.754
0.500 0.500 0.246
0.000 0.000 0.500
0.195 0.816 0.195
0.726 0.715 0.000
0.805 0.183 0.195
0.805 0.184 0.805
0.274 0.285 0.000
0.195 0.817 0.805
0.693 0.674 0.500
0.307 0.326 0.500
```

Computed properties:
Calculated total energy in eV/atom: -4.4323
Total moment in μB per atom: 0.248